No. 1
Below is a relaxed structure of TaCrNi, with properties calculated at the GGA-PBE level.

a = 4.2795 Å, b = 4.2795 Å, c = 2.6419 Å
α = 90.00°, β = 90.00°, γ = 120.00°
Fractional positions:
Ta1 0.0000 0.0000 0.0000
Cr1 0.6667 0.3333 0.3346
Ni1 0.3333 0.6667 0.6571

- DFT formation energy (eV per atom) = 0.2103
- energy (hartree per atom) = -0.326

***

No. 2
Below is a relaxed structure of Dy2SnHg3, with properties calculated at the GGA-PBE level.

a = 9.8651 Å, b = 9.2351 Å, c = 6.0708 Å
α = 77.21°, β = 65.91°, γ = 36.88°
Fractional positions:
Dy1 0.2460 0.7540 0.7540
Dy2 0.2500 0.2500 0.2500
Dy3 0.7500 0.7500 0.7500
Dy4 0.7540 0.2460 0.2460
Sn1 0.3345 0.3345 0.6655
Sn2 0.6655 0.6655 0.3345
Hg1 0.1657 0.1657 0.8343
Hg2 0.1663 0.6684 0.3316
Hg3 0.3316 0.8337 0.1663
Hg4 0.6684 0.1663 0.8337
Hg5 0.8337 0.3316 0.6684
Hg6 0.8343 0.8343 0.1657

- DFT formation energy (eV per atom) = -0.4125
- energy (hartree per atom) = -0.102